No. 1
# Cs2Ag2AuCl6 (PBE, optimized geometry)
data_Cs2Ag2AuCl6
_cell_length_a 15.3686
_cell_length_b 7.2457
_cell_length_c 6.8508
_cell_angle_alpha 90.00
_cell_angle_beta 107.61
_cell_angle_gamma 90.00
_symmetry_space_group_name_H-M 'C 1 2/m 1'
_symmetry_Int_Tables_number 12
_symmetry_space_group_name_Hall '-C 2y'
loop_
_atom_site_label
_atom_site_type_symbol
_atom_site_fract_x
_atom_site_fract_y
_atom_site_fract_z
_atom_site_occupancy
Cs1 Cs 0.2216 0.0000 0.1950 1
Ag1 Ag 0.0504 0.5000 0.2237 1
Au1 Au 0.0000 0.0000 0.5000 1
Cl1 Cl 0.0589 0.2385 0.7622 1
Cl2 Cl 0.2137 0.5000 0.2695 1
# energy relative to the elements, uncorrected = -957 meV/atom
# size of the total moment = 0.300 μB per cell



No. 2
# Cs2AgAu2Cl6 (PBE, optimized geometry)
data_Cs2AgAu2Cl6
_cell_length_a 14.6234
_cell_length_b 7.2121
_cell_length_c 7.7099
_cell_angle_alpha 90.00
_cell_angle_beta 119.82
_cell_angle_gamma 90.00
_symmetry_space_group_name_H-M 'C 1 2/m 1'
_symmetry_Int_Tables_number 12
_symmetry_space_group_name_Hall '-C 2y'
loop_
_atom_site_label
_atom_site_type_symbol
_atom_site_fract_x
_atom_site_fract_y
_atom_site_fract_z
_atom_site_occupancy
Cs1 Cs 0.2298 0.0000 0.2021 1
Ag1 Ag 0.0000 0.0000 0.5000 1
Au1 Au 0.0728 0.5000 0.2227 1
Cl1 Cl 0.0404 0.2469 0.7640 1
Cl2 Cl 0.2490 0.5000 0.2876 1
# energy relative to the elements, uncorrected = -880 meV/atom
# size of the total moment = 0.000 μB per cell



No. 3
# Cs3AgAu2Cl9 (PBE, optimized geometry)
data_Cs3AgAu2Cl9
_cell_length_a 7.3682
_cell_length_b 7.3682
_cell_length_c 9.0317
_cell_angle_alpha 90.00
_cell_angle_beta 90.00
_cell_angle_gamma 120.00
_symmetry_space_group_name_H-M 'P -3 m 1'
_symmetry_Int_Tables_number 164
_symmetry_space_group_name_Hall '-P 3 2"'
loop_
_atom_site_label
_atom_site_type_symbol
_atom_site_fract_x
_atom_site_fract_y
_atom_site_fract_z
_atom_site_occupancy
Cs1 Cs 0.0000 0.0000 0.0000 1
Cs2 Cs 0.3333 0.6667 0.6610 1
Ag1 Ag 0.0000 0.0000 0.5000 1
Au1 Au 0.3333 0.6667 0.1641 1
Cl1 Cl 0.0000 0.5000 0.0000 1
Cl2 Cl 0.1683 0.3366 0.3275 1
# energy relative to the elements, uncorrected = -1019 meV/atom
# size of the total moment = 0.000 μB per cell